Record 1
Li4Cu3O6: relaxed, PBEsol.

The value obtained for the raw formation energy is -1.195 eV per atom. Its crystal system is monoclinic. The value obtained for the density of states at the Fermi level is 8.708 states/eV per cell. The calculation puts the volume at 135 Å³/f.u.

It has space group C2/m (No. 12), with a = 9.943 Å, b = 3.432 Å, c = 8.256 Å, α = 90.00°, β = 106.01° and γ = 90.00°. The distinct sites, in fractional coordinates, are Li at (0.223, 0.000, 0.392), Li at (0.224, 0.000, 0.090), Cu at (0.000, 0.500, 0.500), Cu at (0.004, 0.500, 0.170), O at (0.126, 0.500, 0.708), O at (0.131, 0.500, 0.039) and O at (0.135, 0.500, 0.384).

Record 2
LiCuO2: relaxed, PBEsol.

The value obtained for the raw formation energy is -1.050 eV per atom. Its crystal system is orthorhombic. The value obtained for the density of states at the Fermi level is 0.555 states/eV per cell. The calculation puts the volume at 42 Å³/f.u.

It has space group Cmcm (No. 63), with a = 3.182 Å, b = 10.016 Å, c = 5.215 Å, α = 90.00°, β = 90.00° and γ = 90.00°. The distinct sites, in fractional coordinates, are Li at (0.000, 0.218, 0.250), Cu at (0.000, 0.496, 0.250) and O at (0.000, 0.374, 0.508).

Record 3
Li3Cu5O4: relaxed, PBEsol.

The value obtained for the raw formation energy is -0.907 eV per atom. Its crystal system is monoclinic. The calculation puts the volume at 141 Å³/f.u.

It has space group P2_1/c (No. 14), with a = 7.385 Å, b = 6.380 Å, c = 12.410 Å, α = 90.00°, β = 104.78° and γ = 90.00°. The distinct sites, in fractional coordinates, are Li at (0.074, 0.123, 0.073), Li at (0.255, 0.693, 0.552), Li at (0.396, 0.109, 0.922), Cu at (0.034, 0.054, 0.412), Cu at (0.068, 0.686, 0.741), Cu at (0.332, 0.536, 0.882), Cu at (0.343, 0.114, 0.580), Cu at (0.456, 0.117, 0.224), O at (0.024, 0.666, 0.590), O at (0.132, 0.711, 0.893), O at (0.363, 0.089, 0.072) and O at (0.470, 0.647, 0.123).

Record 4
LiCuO2: relaxed, PBEsol.

The value obtained for the raw formation energy is -1.071 eV per atom. Its crystal system is triclinic. The value obtained for the density of states at the Fermi level is 0.869 states/eV per cell. The calculation puts the volume at 37 Å³/f.u.

It has space group P-1 (No. 2), with a = 3.179 Å, b = 4.940 Å, c = 4.970 Å, α = 105.42°, β = 97.92° and γ = 94.28°. The distinct sites, in fractional coordinates, are Li at (0.206, 0.258, 0.465), Cu at (0.000, 0.500, 0.000), Cu at (0.500, 0.000, 0.000), O at (0.087, 0.144, 0.793) and O at (0.294, 0.645, 0.761).

Record 5
Li2CuO2: relaxed, PBEsol.

The value obtained for the raw formation energy is -1.384 eV per atom. Its crystal system is orthorhombic. The value obtained for the density of states at the Fermi level is 1.011 states/eV per cell. The calculation puts the volume at 48 Å³/f.u.

It has space group Immm (No. 71), with a = 2.863 Å, b = 3.689 Å, c = 9.156 Å, α = 90.00°, β = 90.00° and γ = 90.00°. The distinct sites, in fractional coordinates, are Li at (0.000, 0.000, 0.207), Cu at (0.000, 0.000, 0.500) and O at (0.000, 0.500, 0.144).

Record 6
Li3CuO: relaxed, PBEsol.

The value obtained for the raw formation energy is -0.864 eV per atom. Its crystal system is cubic. The value obtained for the density of states at the Fermi level is 0.058 states/eV per cell. The calculation puts the volume at 57 Å³/f.u.

It has space group Pm-3m (No. 221), with a = 3.855 Å, b = 3.855 Å, c = 3.855 Å, α = 90.00°, β = 90.00° and γ = 90.00°. The distinct sites, in fractional coordinates, are Li at (0.000, 0.000, 0.500), Cu at (0.500, 0.500, 0.500) and O at (0.000, 0.000, 0.000).